(1)
VASP calculation (PBE) on Pu2TeS2 after structural relaxation.

Cell and atoms, written as POSCAR:
```
Pu2TeS2
1.0
-2.130 2.675 6.769
2.130 -2.675 6.769
2.130 2.675 -6.769
Pu Te S
2 1 2
direct
0.168 0.168 0.000 Pu
0.832 0.832 0.000 Pu
0.000 0.500 0.500 Te
0.294 0.794 0.500 S
0.706 0.206 0.500 S
```

Computed properties:
For the total energy, the calculation gives -47.47 eV/cell.


(2)
VASP calculation (PBE) on Ce2PrGa after structural relaxation.

Cell and atoms, written as POSCAR:
```
Ce2PrGa
1.0
4.625 0.000 0.000
0.000 4.625 0.000
0.000 0.000 4.955
Ce Pr Ga
2 1 1
direct
0.000 0.500 0.000 Ce
0.500 0.000 0.000 Ce
0.000 0.000 0.500 Pr
0.500 0.500 0.500 Ga
```

Computed properties:
The calculation puts the energy relative to the elements at -4.75 kcal/mol of atoms. The calculation puts the energy above the most stable polymorph in this dataset at 71.3 meV/atom.


(3)
VASP calculation (PBE) on GaTcPd2C after structural relaxation.

Cell and atoms, written as POSCAR:
```
GaTcPd2C
1.0
4.142 0.000 0.000
0.000 4.142 0.000
0.000 0.000 4.055
Ga Tc Pd C
1 1 2 1
direct
0.000 0.000 0.000 Ga
0.500 0.500 0.000 Tc
0.000 0.500 0.500 Pd
0.500 0.000 0.500 Pd
0.500 0.500 0.500 C
```

Computed properties:
The calculation puts the energy relative to the elements at 1.21 kcal/mol of atoms.


(4)
VASP calculation (PBE) on Ho2Mn12P7 after structural relaxation.

Cell and atoms, written as POSCAR:
```
Ho2Mn12P7
1.0
9.278 0.000 0.000
-4.639 8.035 0.000
0.000 0.000 3.597
Ho Mn P
2 12 7
direct
0.000 0.000 0.000 Ho
0.333 0.667 0.500 Ho
0.042 0.285 0.500 Mn
0.105 0.727 0.000 Mn
0.243 0.958 0.500 Mn
0.273 0.378 0.000 Mn
0.439 0.209 0.000 Mn
0.509 0.452 0.500 Mn
0.548 0.057 0.500 Mn
0.622 0.895 0.000 Mn
0.715 0.757 0.500 Mn
0.770 0.561 0.000 Mn
0.791 0.230 0.000 Mn
0.943 0.491 0.500 Mn
0.075 0.462 0.000 P
0.255 0.213 0.500 P
0.387 0.925 0.000 P
0.538 0.613 0.000 P
0.667 0.333 0.500 P
0.787 0.042 0.500 P
0.958 0.745 0.500 P
```

Computed properties:
The calculation puts the energy relative to the elements at -16.22 kcal/mol of atoms.


(5)
VASP calculation (PBE) on NaAc2 after structural relaxation.

Cell and atoms, written as POSCAR:
```
NaAc2
1.0
0.000 5.312 5.312
5.312 0.000 5.312
5.312 5.312 0.000
Na Ac
2 4
direct
0.125 0.125 0.125 Na
0.875 0.875 0.875 Na
0.000 0.500 0.500 Ac
0.500 0.000 0.500 Ac
0.500 0.500 0.000 Ac
0.500 0.500 0.500 Ac
```

Computed properties:
The calculation puts the energy relative to the elements at 9.59 kcal/mol of atoms. The calculation puts the energy above the most stable polymorph in this dataset at 318.7 meV/atom.


(6)
VASP calculation (PBE) on SrAc2N after structural relaxation.

Cell and atoms, written as POSCAR:
```
SrAc2N
1.0
1.960 1.132 10.536
-1.960 1.132 10.536
0.000 -2.264 10.536
Sr Ac N
1 2 1
direct
0.000 0.000 0.000 Sr
0.214 0.214 0.214 Ac
0.786 0.786 0.786 Ac
0.500 0.500 0.500 N
```

Computed properties:
For the total energy, the calculation gives -20.04 eV/cell.


(7)
VASP calculation (PBE) on BeTlAu2 after structural relaxation.

Cell and atoms, written as POSCAR:
```
BeTlAu2
1.0
1.838 1.061 6.759
-1.838 1.061 6.759
0.000 -2.122 6.759
Be Tl Au
1 1 2
direct
0.000 0.000 0.000 Be
0.166 0.166 0.166 Tl
0.388 0.388 0.388 Au
0.612 0.612 0.612 Au
```

Computed properties:
The calculation puts the energy relative to the elements at 0.58 kcal/mol of atoms. The calculation puts the energy above the most stable polymorph in this dataset at 28.2 meV/atom.


(8)
VASP calculation (PBE) on TlSbF3 after structural relaxation.

Cell and atoms, written as POSCAR:
```
TlSbF3
1.0
4.966 0.000 0.000
-0.221 6.528 0.000
-2.300 -0.199 6.985
Tl Sb F
2 2 6
direct
0.000 0.000 0.000 Tl
0.391 0.494 0.798 Tl
0.680 0.769 0.400 Sb
0.727 0.236 0.397 Sb
0.054 0.750 0.355 F
0.339 0.240 0.424 F
0.500 0.232 0.095 F
0.522 0.768 0.095 F
0.860 0.254 0.705 F
0.939 0.770 0.696 F
```

Computed properties:
The calculation puts the energy above the most stable polymorph in this dataset at 0.0 meV/atom.


(9)
VASP calculation (PBE) on AlOs2Br after structural relaxation.

Cell and atoms, written as POSCAR:
```
AlOs2Br
1.0
1.416 -2.313 0.000
1.416 2.313 0.000
0.000 0.000 11.866
Al Os Br
1 2 1
direct
0.000 0.000 0.000 Al
0.500 0.500 0.175 Os
0.500 0.500 0.825 Os
0.000 0.000 0.500 Br
```

Computed properties:
The calculation puts the energy above the most stable polymorph in this dataset at 392.8 meV/atom.


(10)
VASP calculation (PBE) on ThVGe2 after structural relaxation.

Cell and atoms, written as POSCAR:
```
ThVGe2
1.0
1.539 0.889 10.285
-1.539 0.889 10.285
0.000 -1.778 10.285
Th V Ge
1 1 2
direct
0.000 0.000 0.000 Th
0.500 0.500 0.500 V
0.101 0.101 0.101 Ge
0.899 0.899 0.899 Ge
```

Computed properties:
The calculation puts the energy relative to the elements at 6.80 kcal/mol of atoms. The calculation puts the energy above the most stable polymorph in this dataset at 547.1 meV/atom.


(11)
VASP calculation (PBE) on Ac6Ir2Br3N after structural relaxation.

Cell and atoms, written as POSCAR:
```
Ac6Ir2Br3N
1.0
3.669 -6.367 0.000
3.669 6.367 0.000
-2.465 0.000 8.247
Ac Ir Br N
6 2 3 1
direct
0.063 0.380 0.188 Ac
0.252 0.252 0.813 Ac
0.380 0.063 0.188 Ac
0.620 0.937 0.812 Ac
0.748 0.748 0.187 Ac
0.937 0.620 0.812 Ac
0.334 0.666 0.000 Ir
0.666 0.334 0.000 Ir
0.170 0.830 0.500 Br
0.500 0.500 0.500 Br
0.830 0.170 0.500 Br
0.000 0.000 0.000 N
```

Computed properties:
For the total energy, the calculation gives -69.84 eV/cell.


(12)
VASP calculation (PBE) on LaSm2Ho7 after structural relaxation.

Cell and atoms, written as POSCAR:
```
LaSm2Ho7
1.0
6.172 0.000 0.000
2.050 6.843 0.000
2.048 1.215 7.603
La Sm Ho
1 2 7
direct
0.000 0.000 0.000 La
0.200 0.301 0.599 Sm
0.800 0.699 0.401 Sm
0.000 0.500 0.000 Ho
0.201 0.799 0.599 Ho
0.400 0.101 0.201 Ho
0.402 0.599 0.201 Ho
0.598 0.401 0.799 Ho
0.600 0.899 0.799 Ho
0.799 0.201 0.401 Ho
```

Computed properties:
The calculation puts the energy relative to the elements at 0.50 kcal/mol of atoms. The calculation puts the energy above the most stable polymorph in this dataset at 0.0 meV/atom.


Copy entry 10 word for word.
VASP calculation (PBE) on ThVGe2 after structural relaxation.

Cell and atoms, written as POSCAR:
```
ThVGe2
1.0
1.539 0.889 10.285
-1.539 0.889 10.285
0.000 -1.778 10.285
Th V Ge
1 1 2
direct
0.000 0.000 0.000 Th
0.500 0.500 0.500 V
0.101 0.101 0.101 Ge
0.899 0.899 0.899 Ge
```

Computed properties:
The calculation puts the energy relative to the elements at 6.80 kcal/mol of atoms. The calculation puts the energy above the most stable polymorph in this dataset at 547.1 meV/atom.